DFT (GGA-PBE) results for Hf14Cu51 after structural relaxation. Values from VASP.

Computed properties:
- total moment (μB per cell) = 0.000
- ΔH_f (0 K) (kJ/mol of formula units) = -1023
- symmetry = P-6 (174)

```
&SYSTEM
  ibrav = 0, nat = 65, ntyp = 2
/
ATOMIC_SPECIES
Hf 178.49 Hf.upf
Cu 63.55 Cu.upf
CELL_PARAMETERS angstrom
11.207 0.000 0.000
-5.603 9.705 0.000
0.000 0.000 8.293
ATOMIC_POSITIONS crystal
Hf 0.000 0.000 0.188
Hf 0.000 0.000 0.812
Hf 0.113 0.395 0.500
Hf 0.143 0.675 0.000
Hf 0.282 0.887 0.500
Hf 0.325 0.468 0.000
Hf 0.384 0.268 0.500
Hf 0.474 0.145 0.000
Hf 0.532 0.857 0.000
Hf 0.605 0.718 0.500
Hf 0.671 0.526 0.000
Hf 0.732 0.116 0.500
Hf 0.855 0.329 0.000
Hf 0.884 0.616 0.500
Cu 0.059 0.241 0.000
Cu 0.074 0.815 0.271
Cu 0.074 0.815 0.729
Cu 0.103 0.441 0.169
Cu 0.103 0.441 0.831
Cu 0.116 0.626 0.348
Cu 0.116 0.626 0.652
Cu 0.130 0.010 0.500
Cu 0.183 0.941 0.000
Cu 0.185 0.259 0.271
Cu 0.185 0.259 0.729
Cu 0.237 0.181 0.000
Cu 0.272 0.076 0.255
Cu 0.272 0.076 0.745
Cu 0.333 0.667 0.205
Cu 0.333 0.667 0.500
Cu 0.333 0.667 0.795
Cu 0.338 0.897 0.169
Cu 0.338 0.897 0.831
Cu 0.374 0.490 0.348
Cu 0.374 0.490 0.652
Cu 0.435 0.333 0.170
Cu 0.435 0.333 0.830
Cu 0.499 0.115 0.348
Cu 0.499 0.115 0.652
Cu 0.510 0.884 0.348
Cu 0.510 0.884 0.652
Cu 0.559 0.662 0.169
Cu 0.559 0.662 0.831
Cu 0.617 0.501 0.348
Cu 0.617 0.501 0.652
Cu 0.667 0.102 0.170
Cu 0.667 0.102 0.830
Cu 0.667 0.333 0.206
Cu 0.667 0.333 0.500
Cu 0.667 0.333 0.794
Cu 0.741 0.926 0.271
Cu 0.741 0.926 0.729
Cu 0.759 0.817 0.000
Cu 0.804 0.728 0.255
Cu 0.804 0.728 0.745
Cu 0.819 0.056 0.000
Cu 0.879 0.870 0.500
Cu 0.885 0.383 0.348
Cu 0.885 0.383 0.652
Cu 0.898 0.565 0.170
Cu 0.898 0.565 0.830
Cu 0.924 0.196 0.255
Cu 0.924 0.196 0.745
Cu 0.944 0.763 0.000
Cu 0.990 0.121 0.500
```

DFT (GGA-PBE) results for Hf2Cu after structural relaxation. Values from VASP.

Computed properties:
- total moment (μB per cell) = 0.000
- ΔH_f (0 K) (kJ/mol of formula units) = -47
- symmetry = Fmmm (69)

```
&SYSTEM
  ibrav = 0, nat = 3, ntyp = 2
/
ATOMIC_SPECIES
Hf 178.49 Hf.upf
Cu 63.55 Cu.upf
CELL_PARAMETERS angstrom
0.000 2.243 5.626
2.237 0.000 5.626
2.237 2.243 0.000
ATOMIC_POSITIONS crystal
Hf 0.157 0.157 0.843
Hf 0.843 0.843 0.157
Cu 0.500 0.500 0.500
```

DFT (GGA-PBE) results for Hf7Cu10 after structural relaxation. Values from VASP.

Computed properties:
- total moment (μB per cell) = 0.000
- ΔH_f (0 K) (kJ/mol of formula units) = -299
- symmetry = Cmce (64)

```
&SYSTEM
  ibrav = 0, nat = 34, ntyp = 2
/
ATOMIC_SPECIES
Hf 178.49 Hf.upf
Cu 63.55 Cu.upf
CELL_PARAMETERS angstrom
6.324 -4.622 0.000
6.324 4.622 0.000
0.000 0.000 9.297
ATOMIC_POSITIONS crystal
Hf 0.000 0.000 0.000
Hf 0.014 0.486 0.250
Hf 0.189 0.189 0.500
Hf 0.189 0.811 0.692
Hf 0.311 0.311 0.000
Hf 0.311 0.689 0.192
Hf 0.486 0.014 0.750
Hf 0.500 0.500 0.500
Hf 0.514 0.986 0.250
Hf 0.689 0.311 0.808
Hf 0.689 0.689 0.000
Hf 0.811 0.189 0.308
Hf 0.811 0.811 0.500
Hf 0.986 0.514 0.750
Cu 0.058 0.650 0.993
Cu 0.106 0.894 0.398
Cu 0.128 0.163 0.795
Cu 0.150 0.558 0.493
Cu 0.163 0.128 0.205
Cu 0.337 0.372 0.705
Cu 0.350 0.942 0.993
Cu 0.372 0.337 0.295
Cu 0.394 0.606 0.898
Cu 0.442 0.850 0.493
Cu 0.558 0.150 0.507
Cu 0.606 0.394 0.102
Cu 0.628 0.663 0.705
Cu 0.650 0.058 0.007
Cu 0.663 0.628 0.295
Cu 0.837 0.872 0.795
Cu 0.850 0.442 0.507
Cu 0.872 0.837 0.205
Cu 0.894 0.106 0.602
Cu 0.942 0.350 0.007
```

DFT (GGA-PBE) results for Hf4Cu after structural relaxation. Values from VASP.

Computed properties:
- total moment (μB per cell) = 0.089
- ΔH_f (0 K) (kJ/mol of formula units) = 284
- symmetry = Pm-3m (221)

```
&SYSTEM
  ibrav = 0, nat = 5, ntyp = 2
/
ATOMIC_SPECIES
Hf 178.49 Hf.upf
Cu 63.55 Cu.upf
CELL_PARAMETERS angstrom
4.868 0.000 0.000
0.000 4.868 0.000
0.000 0.000 4.868
ATOMIC_POSITIONS crystal
Hf 0.000 0.000 0.000
Hf 0.000 0.500 0.500
Hf 0.500 0.000 0.500
Hf 0.500 0.500 0.000
Cu 0.500 0.500 0.500
```

DFT (GGA-PBE) results for HfCuHg2 after structural relaxation. Values from VASP.

Computed properties:
- total moment (μB per cell) = 0.000
- ΔH_f (0 K) (kJ/mol of formula units) = 34
- symmetry = Fm-3m (225)

```
&SYSTEM
  ibrav = 0, nat = 4, ntyp = 3
/
ATOMIC_SPECIES
Hf 178.49 Hf.upf
Cu 63.55 Cu.upf
Hg 200.59 Hg.upf
CELL_PARAMETERS angstrom
0.000 3.364 3.364
3.364 0.000 3.364
3.364 3.364 0.000
ATOMIC_POSITIONS crystal
Hf 0.000 0.000 0.000
Cu 0.500 0.500 0.500
Hg 0.250 0.250 0.250
Hg 0.750 0.750 0.750
```

DFT (GGA-PBE) results for HfCu3Hg after structural relaxation. Values from VASP.

Computed properties:
- total moment (μB per cell) = 0.000
- ΔH_f (0 K) (kJ/mol of formula units) = 566
- symmetry = Pm-3m (221)

```
&SYSTEM
  ibrav = 0, nat = 5, ntyp = 3
/
ATOMIC_SPECIES
Hf 178.49 Hf.upf
Cu 63.55 Cu.upf
Hg 200.59 Hg.upf
CELL_PARAMETERS angstrom
4.964 0.000 0.000
0.000 4.964 0.000
0.000 0.000 4.964
ATOMIC_POSITIONS crystal
Hf 0.000 0.000 0.000
Cu 0.000 0.000 0.500
Cu 0.000 0.500 0.000
Cu 0.500 0.000 0.000
Hg 0.500 0.500 0.500
```

DFT (GGA-PBE) results for HfCu2Hg after structural relaxation. Values from VASP.

Computed properties:
- total moment (μB per cell) = 0.000
- ΔH_f (0 K) (kJ/mol of formula units) = 149
- symmetry = I-42d (122)

```
&SYSTEM
  ibrav = 0, nat = 8, ntyp = 3
/
ATOMIC_SPECIES
Hf 178.49 Hf.upf
Cu 63.55 Cu.upf
Hg 200.59 Hg.upf
CELL_PARAMETERS angstrom
-3.614 3.614 2.842
3.614 -3.614 2.842
3.614 3.614 -2.842
ATOMIC_POSITIONS crystal
Hf 0.000 0.000 0.000
Hf 0.750 0.250 0.500
Cu 0.126 0.625 0.001
Cu 0.375 0.376 0.501
Cu 0.624 0.125 0.999
Cu 0.875 0.874 0.499
Hg 0.250 0.750 0.500
Hg 0.500 0.500 0.000
```

DFT (GGA-PBE) results for HfCuHg after structural relaxation. Values from VASP.

Computed properties:
- total moment (μB per cell) = 0.000
- ΔH_f (0 K) (kJ/mol of formula units) = -4
- symmetry = P-6m2 (187)

```
&SYSTEM
  ibrav = 0, nat = 3, ntyp = 3
/
ATOMIC_SPECIES
Hf 178.49 Hf.upf
Cu 63.55 Cu.upf
Hg 200.59 Hg.upf
CELL_PARAMETERS angstrom
4.585 0.000 0.000
-2.292 3.971 0.000
0.000 0.000 2.994
ATOMIC_POSITIONS crystal
Hf 0.000 0.000 0.000
Cu 0.667 0.333 0.500
Hg 0.333 0.667 0.500
```

DFT (GGA-PBE) results for Hf2CuHg2 after structural relaxation. Values from VASP.

Computed properties:
- total moment (μB per cell) = 0.000
- ΔH_f (0 K) (kJ/mol of formula units) = 68
- symmetry = P4/mbm (127)

```
&SYSTEM
  ibrav = 0, nat = 10, ntyp = 3
/
ATOMIC_SPECIES
Hf 178.49 Hf.upf
Cu 63.55 Cu.upf
Hg 200.59 Hg.upf
CELL_PARAMETERS angstrom
6.959 0.000 0.000
0.000 6.959 0.000
0.000 0.000 4.226
ATOMIC_POSITIONS crystal
Hf 0.165 0.335 0.000
Hf 0.335 0.835 0.000
Hf 0.665 0.165 0.000
Hf 0.835 0.665 0.000
Cu 0.000 0.000 0.500
Cu 0.500 0.500 0.500
Hg 0.144 0.644 0.500
Hg 0.356 0.144 0.500
Hg 0.644 0.856 0.500
Hg 0.856 0.356 0.500
```

DFT (GGA-PBE) results for HfCuHg after structural relaxation. Values from VASP.

Computed properties:
- total moment (μB per cell) = 0.552
- ΔH_f (0 K) (kJ/mol of formula units) = -19
- symmetry = Cmcm (63)

```
&SYSTEM
  ibrav = 0, nat = 6, ntyp = 3
/
ATOMIC_SPECIES
Hf 178.49 Hf.upf
Cu 63.55 Cu.upf
Hg 200.59 Hg.upf
CELL_PARAMETERS angstrom
1.665 -8.036 0.000
1.665 8.036 0.000
0.000 0.000 4.139
ATOMIC_POSITIONS crystal
Hf 0.093 0.907 0.750
Hf 0.907 0.093 0.250
Cu 0.459 0.541 0.750
Cu 0.541 0.459 0.250
Hg 0.296 0.704 0.750
Hg 0.704 0.296 0.250
```

DFT (GGA-PBE) results for HfCuHg2 after structural relaxation. Values from VASP.

Computed properties:
- total moment (μB per cell) = 0.000
- ΔH_f (0 K) (kJ/mol of formula units) = 58
- symmetry = F-43m (216)

```
&SYSTEM
  ibrav = 0, nat = 4, ntyp = 3
/
ATOMIC_SPECIES
Hf 178.49 Hf.upf
Cu 63.55 Cu.upf
Hg 200.59 Hg.upf
CELL_PARAMETERS angstrom
0.000 3.364 3.364
3.364 0.000 3.364
3.364 3.364 0.000
ATOMIC_POSITIONS crystal
Hf 0.000 0.000 0.000
Cu 0.250 0.250 0.250
Hg 0.500 0.500 0.500
Hg 0.750 0.750 0.750
```

DFT (GGA-PBE) results for HfCuHg after structural relaxation. Values from VASP.

Computed properties:
- total moment (μB per cell) = 0.000
- ΔH_f (0 K) (kJ/mol of formula units) = -2
- symmetry = I4mm (107)

```
&SYSTEM
  ibrav = 0, nat = 3, ntyp = 3
/
ATOMIC_SPECIES
Hf 178.49 Hf.upf
Cu 63.55 Cu.upf
Hg 200.59 Hg.upf
CELL_PARAMETERS angstrom
-1.572 1.572 5.535
1.572 -1.572 5.535
1.572 1.572 -5.535
ATOMIC_POSITIONS crystal
Hf 0.000 0.000 0.000
Cu 0.651 0.651 0.000
Hg 0.306 0.306 0.000
```

DFT (GGA-PBE) results for HfCu2Hg after structural relaxation. Values from VASP.

Computed properties:
- total moment (μB per cell) = 0.000
- ΔH_f (0 K) (kJ/mol of formula units) = 66
- symmetry = R-3m (166)

```
&SYSTEM
  ibrav = 0, nat = 4, ntyp = 3
/
ATOMIC_SPECIES
Hf 178.49 Hf.upf
Cu 63.55 Cu.upf
Hg 200.59 Hg.upf
CELL_PARAMETERS angstrom
1.553 0.896 8.605
-1.553 0.896 8.605
0.000 -1.793 8.605
ATOMIC_POSITIONS crystal
Hf 0.000 0.000 0.000
Cu 0.251 0.251 0.251
Cu 0.749 0.749 0.749
Hg 0.500 0.500 0.500
```

DFT (GGA-PBE) results for HfCuHg3 after structural relaxation. Values from VASP.

Computed properties:
- total moment (μB per cell) = 0.000
- ΔH_f (0 K) (kJ/mol of formula units) = 282
- symmetry = Pm-3m (221)

```
&SYSTEM
  ibrav = 0, nat = 5, ntyp = 3
/
ATOMIC_SPECIES
Hf 178.49 Hf.upf
Cu 63.55 Cu.upf
Hg 200.59 Hg.upf
CELL_PARAMETERS angstrom
4.856 0.000 0.000
0.000 4.856 0.000
0.000 0.000 4.856
ATOMIC_POSITIONS crystal
Hf 0.000 0.000 0.000
Cu 0.500 0.500 0.500
Hg 0.000 0.500 0.500
Hg 0.500 0.000 0.500
Hg 0.500 0.500 0.000
```

DFT (GGA-PBE) results for HfCuHg2 after structural relaxation. Values from VASP.

Computed properties:
- total moment (μB per cell) = 0.000
- ΔH_f (0 K) (kJ/mol of formula units) = 25
- symmetry = P4/mmm (123)

```
&SYSTEM
  ibrav = 0, nat = 4, ntyp = 3
/
ATOMIC_SPECIES
Hf 178.49 Hf.upf
Cu 63.55 Cu.upf
Hg 200.59 Hg.upf
CELL_PARAMETERS angstrom
3.232 0.000 0.000
0.000 3.232 0.000
0.000 0.000 7.247
ATOMIC_POSITIONS crystal
Hf 0.000 0.000 0.000
Cu 0.000 0.000 0.500
Hg 0.500 0.500 0.277
Hg 0.500 0.500 0.723
```

DFT (GGA-PBE) results for HfCuHg after structural relaxation. Values from VASP.

Computed properties:
- total moment (μB per cell) = 0.000
- ΔH_f (0 K) (kJ/mol of formula units) = 19
- symmetry = P4/nmm (129)

```
&SYSTEM
  ibrav = 0, nat = 6, ntyp = 3
/
ATOMIC_SPECIES
Hf 178.49 Hf.upf
Cu 63.55 Cu.upf
Hg 200.59 Hg.upf
CELL_PARAMETERS angstrom
4.154 0.000 0.000
0.000 4.154 0.000
0.000 0.000 6.572
ATOMIC_POSITIONS crystal
Hf 0.250 0.250 0.201
Hf 0.750 0.750 0.799
Cu 0.250 0.750 0.500
Cu 0.750 0.250 0.500
Hg 0.250 0.250 0.767
Hg 0.750 0.750 0.233
```

DFT (GGA-PBE) results for HfCu2Hg after structural relaxation. Values from VASP.

Computed properties:
- total moment (μB per cell) = 0.253
- ΔH_f (0 K) (kJ/mol of formula units) = 4
- symmetry = P4/mmm (123)

```
&SYSTEM
  ibrav = 0, nat = 4, ntyp = 3
/
ATOMIC_SPECIES
Hf 178.49 Hf.upf
Cu 63.55 Cu.upf
Hg 200.59 Hg.upf
CELL_PARAMETERS angstrom
3.288 0.000 0.000
0.000 3.288 0.000
0.000 0.000 6.286
ATOMIC_POSITIONS crystal
Hf 0.000 0.000 0.000
Cu 0.500 0.500 0.238
Cu 0.500 0.500 0.762
Hg 0.000 0.000 0.500
```

DFT (GGA-PBE) results for HfCuHg2 after structural relaxation. Values from VASP.

Computed properties:
- total moment (μB per cell) = 0.000
- ΔH_f (0 K) (kJ/mol of formula units) = 119
- symmetry = I-42d (122)

```
&SYSTEM
  ibrav = 0, nat = 8, ntyp = 3
/
ATOMIC_SPECIES
Hf 178.49 Hf.upf
Cu 63.55 Cu.upf
Hg 200.59 Hg.upf
CELL_PARAMETERS angstrom
-3.781 3.781 2.922
3.781 -3.781 2.922
3.781 3.781 -2.922
ATOMIC_POSITIONS crystal
Hf 0.000 0.000 0.000
Hf 0.750 0.250 0.500
Cu 0.250 0.750 0.500
Cu 0.500 0.500 0.000
Hg 0.156 0.625 0.031
Hg 0.375 0.406 0.531
Hg 0.594 0.125 0.969
Hg 0.875 0.844 0.469
```

DFT (GGA-PBE) results for HfCuHg2 after structural relaxation. Values from VASP.

Computed properties:
- total moment (μB per cell) = 0.000
- ΔH_f (0 K) (kJ/mol of formula units) = 54
- symmetry = P4/mmm (123)

```
&SYSTEM
  ibrav = 0, nat = 4, ntyp = 3
/
ATOMIC_SPECIES
Hf 178.49 Hf.upf
Cu 63.55 Cu.upf
Hg 200.59 Hg.upf
CELL_PARAMETERS angstrom
4.308 0.000 0.000
0.000 4.308 0.000
0.000 0.000 4.212
ATOMIC_POSITIONS crystal
Hf 0.000 0.000 0.000
Cu 0.500 0.500 0.000
Hg 0.000 0.500 0.500
Hg 0.500 0.000 0.500
```

DFT (GGA-PBE) results for Hf3CuHg after structural relaxation. Values from VASP.

Computed properties:
- total moment (μB per cell) = 0.000
- ΔH_f (0 K) (kJ/mol of formula units) = 222
- symmetry = Pm-3m (221)

```
&SYSTEM
  ibrav = 0, nat = 5, ntyp = 3
/
ATOMIC_SPECIES
Hf 178.49 Hf.upf
Cu 63.55 Cu.upf
Hg 200.59 Hg.upf
CELL_PARAMETERS angstrom
4.847 0.000 0.000
0.000 4.847 0.000
0.000 0.000 4.847
ATOMIC_POSITIONS crystal
Hf 0.000 0.000 0.500
Hf 0.000 0.500 0.000
Hf 0.500 0.000 0.000
Cu 0.000 0.000 0.000
Hg 0.500 0.500 0.500
```